1.
# SbCI2O

A geometry-optimized SbCI2O structure (PBE, the Alexandria database).

The structure in extended XYZ format:
```
5
Lattice="7.258 0.000 0.000 0.000 7.258 0.000 0.000 0.000 2.923" Properties=species:S:1:pos:R:3 pbc="T T T"
I 0.000 3.629 0.000
I 3.629 0.000 0.000
Sb 3.629 3.629 1.461
C 0.000 0.000 0.000
O 0.000 0.000 1.461
```

Results
Formation energy (no corrections): 0.971 eV per atom
Magnetization: 0.00 μB per formula unit
Fermi-level density of states: 0.561 states/eV/atom
Symmetry: P4/mmm, No. 123

=====

2.
# Sm6C2I3O

A geometry-optimized Sm6C2I3O structure (PBE, the Alexandria database).

The structure in extended XYZ format:
```
12
Lattice="6.612 -0.001 0.000 -3.305 5.726 0.000 -1.103 -1.910 7.567" Properties=species:S:1:pos:R:3 pbc="T T T"
Sm 3.311 1.897 6.280
Sm 2.198 3.806 1.289
Sm -1.108 1.918 1.286
Sm -0.012 3.816 6.280
Sm 0.006 0.010 6.277
Sm 2.215 -0.001 1.286
C 0.003 3.816 0.000
C 3.304 1.909 0.000
I -2.189 3.809 3.783
I 4.393 0.007 3.783
I 1.102 1.908 3.783
O 0.000 0.000 0.000
```

Results
Formation energy (no corrections): -1.083 eV per atom
Magnetization: 0.00 μB per formula unit
Fermi-level density of states: 0.316 states/eV/atom
Symmetry: C2/m, No. 12

=====

3.
# SmC2IO6

A geometry-optimized SmC2IO6 structure (PBE, the Alexandria database).

The structure in extended XYZ format:
```
20
Lattice="-5.020 -2.151 3.798 -3.941 -0.380 -5.345 5.866 -5.105 -0.297" Properties=species:S:1:pos:R:3 pbc="T T T"
Sm -3.092 -2.670 -0.189
Sm -0.003 -4.967 -1.655
C 1.901 -4.596 0.720
C -2.374 -6.105 -0.077
C -4.996 -3.042 -2.564
C -0.721 -1.532 -1.767
I -2.583 -1.834 -4.503
I -0.512 -5.803 2.659
O -4.807 -3.273 1.298
O -1.782 -2.732 1.760
O 1.712 -4.364 -3.142
O -1.313 -4.905 -3.604
O -1.608 -0.744 -1.159
O -4.235 -4.037 -2.107
O -1.487 -6.894 -0.685
O 1.140 -3.600 0.263
O -0.978 -2.785 -1.523
O -4.856 -1.979 -1.824
O -2.118 -4.852 -0.322
O 1.761 -5.658 -0.020
```

Results
Formation energy (no corrections): -1.736 eV per atom
Magnetization: 0.00 μB per formula unit
Fermi-level density of states: 0.000 states/eV/atom
Symmetry: C2/c, No. 15

=====

4.
# SrCI2O

A geometry-optimized SrCI2O structure (PBE, the Alexandria database).

The structure in extended XYZ format:
```
5
Lattice="6.418 0.000 0.000 0.000 6.418 0.000 0.000 0.000 4.243" Properties=species:S:1:pos:R:3 pbc="T T T"
I 0.000 3.209 0.000
I 3.209 0.000 0.000
Sr 0.000 0.000 0.000
C 3.209 3.209 2.121
O 0.000 0.000 2.121
```

Results
Formation energy (no corrections): 0.983 eV per atom
Magnetization: 0.00 μB per formula unit
Fermi-level density of states: 1.519 states/eV/atom
Symmetry: P4/mmm, No. 123